# 1
## Li2ZrTc (PBE)

Data for a relaxed Li2ZrTc crystal.

Cell and atoms, written as extended XYZ:
```
4
Lattice="0.000 3.107 3.107 3.107 0.000 3.107 3.107 3.107 0.000" Properties=species:S:1:pos:R:3 pbc="T T T"
Tc 3.107 3.107 3.107
Zr 0.000 0.000 0.000
Li 1.554 1.554 1.554
Li 4.661 4.661 4.661
```

Results
space group: Fm-3m (225)
offset from the most stable computed form: 25.5 kJ/mol of atoms
energy of formation: 0.41 eV/atom
raw total energy: -0.1939 hartree per atom

# 2
## TbNdO (PBE)

Data for a relaxed TbNdO crystal.

Cell and atoms, written as extended XYZ:
```
3
Lattice="-0.636 2.956 -1.968 -2.560 -1.296 2.186 2.078 3.415 4.458" Properties=species:S:1:pos:R:3 pbc="T T T"
Nd 0.192 0.316 0.413
Tb -0.769 2.011 3.269
O -0.542 2.747 0.995
```

Results
space group: P3m1 (156)
offset from the most stable computed form: 9.1 kJ/mol of atoms
raw total energy: -0.2397 hartree per atom
raw formation energy: -167 kJ/mol of atoms